The following is a DFT calculation (PBE-GGA) of crystalline RbUZnSe4 at its relaxed geometry.

Properties
SG ... P2_1/m
Formation energy (no corrections) ... -651.6 kJ/mol of formula units
Magnetic moment ... 1.99 μB/cell

a = 6.5983 Å, b = 6.9553 Å, c = 9.5384 Å
α = 90.00°, β = 108.71°, γ = 90.00°
Element x y z (fractional)
Rb 0.2036 0.2500 0.4561
Rb 0.7964 0.7500 0.5439
U 0.3256 0.7500 0.0535
U 0.6744 0.2500 0.9465
Zn 0.1176 0.2500 0.8418
Zn 0.8824 0.7500 0.1582
Se 0.1036 0.2500 0.0925
Se 0.2462 0.7500 0.3229
Se 0.3465 0.5158 0.8059
Se 0.3465 0.9842 0.8059
Se 0.6535 0.0158 0.1941
Se 0.6535 0.4842 0.1941
Se 0.7538 0.2500 0.6771
Se 0.8964 0.7500 0.9075